Material: Li2Ni
Method: DFT, meta-GGA SCAN
State: PBEsol geometry

Unit cell a=2.4054 b=3.9690 c=7.6162 alpha=90.00 beta=90.00 gamma=90.00
Last column: nearest neighbours and their distance in Å.
Space group Immm (No. 71)
Unique sites:
Li  0.0000  0.0000  0.1616 (multiplicity 4)  7 Li 2.41-2.68, 5 Ni 2.58-2.63
Ni  0.0000  0.0000  0.5000 (multiplicity 2)  2 Ni 2.41, 10 Li 2.58-2.63

Calculated values
Energy of formation from the pure elements, kcal/mol of atoms: 1.8

***

Material: SrIn2As
Method: DFT, meta-GGA SCAN
State: PBEsol geometry

Unit cell a=3.9140 b=3.9140 c=6.8140 alpha=90.00 beta=90.00 gamma=90.00
Last column: nearest neighbours and their distance in Å.
Space group P4mm (No. 99)
Unique sites:
Sr  0.0000  0.0000  0.0000 (multiplicity 1)  5 In 3.20-3.50, 4 As 3.33
In  0.0000  0.0000  0.4695 (multiplicity 1)  4 As 3.08, 4 In 3.13, 1 Sr 3.20
In  0.5000  0.5000  0.6844 (multiplicity 1)  1 As 2.81, 4 In 3.13
As  0.5000  0.5000  0.2724 (multiplicity 1)  5 In 2.81-3.08

Calculated values
Energy of formation from the pure elements, kcal/mol of atoms: -10.0

***

Material: CdSeCl
Method: DFT, meta-GGA SCAN
State: PBEsol geometry

Unit cell a=6.6194 b=6.6194 c=6.6194 alpha=90.00 beta=90.00 gamma=90.00
Last column: nearest neighbours and their distance in Å.
Space group F-43m (No. 216)
Unique sites:
Cd  0.0000  0.0000  0.0000 (multiplicity 4)  4 Se 2.87
Se  0.2500  0.2500  0.7500 (multiplicity 4)  4 Cd 2.87, 4 Cl 2.87
Cl  0.0000  0.0000  0.5000 (multiplicity 4)  4 Se 2.87

Calculated values
Raw formation energy, eV/atom: -0.01

***

Material: CaCd2Pt
Method: DFT, meta-GGA SCAN
State: PBEsol geometry

Unit cell a=5.6544 b=9.4217 c=3.0113 alpha=90.00 beta=90.00 gamma=90.00
Last column: nearest neighbours and their distance in Å.
Space group Cmmm (No. 65)
Unique sites:
Ca  0.0000  0.0000  0.0000 (multiplicity 2)  2 Pt 2.83, 2 Ca 3.01, 8 Cd 3.13
Cd  0.2500  0.2500  0.5000 (multiplicity 4)  4 Cd 2.83-3.01, 4 Ca 3.13, 4 Pt 3.13
Pt  0.0000  0.5000  0.0000 (multiplicity 2)  2 Ca 2.83, 2 Pt 3.01, 8 Cd 3.13

Calculated values
Energy of formation from the pure elements, kcal/mol of atoms: -4.3

***

Material: Li2Mg2W3O12
Method: DFT, meta-GGA SCAN
State: PBEsol geometry

Unit cell a=10.4769 b=5.1090 c=20.3323 alpha=90.00 beta=120.67 gamma=90.00
Last column: nearest neighbours and their distance in Å.
Space group Pc (No. 7)
Unique sites:
Li  0.0000  0.0161  0.0000 (multiplicity 2)  6 O 2.09-2.31
Li  0.0924  0.4668  0.6013 (multiplicity 2)  6 O 2.10-2.28
Li  0.0938  0.4825  0.7674 (multiplicity 2)  6 O 2.07-2.24
Li  0.5420  0.1456  0.0471 (multiplicity 2)  6 O 2.00-2.14
Mg  0.0041  0.0104  0.3272 (multiplicity 2)  6 O 2.04-2.11
Mg  0.4483  0.5002  0.2748 (multiplicity 2)  6 O 2.02-2.16
Mg  0.5470  0.3544  0.5509 (multiplicity 2)  6 O 2.02-2.06
Mg  0.6557  0.0032  0.3308 (multiplicity 2)  6 O 2.01-2.16
W  0.1774  0.4704  0.9581 (multiplicity 2)  4 O 1.78-1.80
W  0.3538  0.0376  0.3569 (multiplicity 2)  4 O 1.78-1.81
W  0.3616  0.0262  0.6435 (multiplicity 2)  4 O 1.77-1.83
W  0.7435  0.4751  0.9633 (multiplicity 2)  4 O 1.78-1.83
W  0.7451  0.4704  0.2438 (multiplicity 2)  4 O 1.77-1.83
W  0.9081  0.0066  0.1391 (multiplicity 2)  4 O 1.78-1.82
O  0.0371  0.2561  0.6718 (multiplicity 2)  1 W 1.78
O  0.0611  0.1833  0.9263 (multiplicity 2)  1 W 1.80
O  0.1341  0.3321  0.3760 (multiplicity 2)  1 W 1.80
O  0.1390  0.3274  0.5169 (multiplicity 2)  1 W 1.78
O  0.1962  0.1571  0.8359 (multiplicity 2)  1 W 1.78
O  0.2049  0.1735  0.0873 (multiplicity 2)  1 W 1.77
O  0.2964  0.3175  0.2942 (multiplicity 2)  1 W 1.80
O  0.3105  0.3115  0.6764 (multiplicity 2)  1 W 1.80
O  0.3715  0.3950  0.0066 (multiplicity 2)  1 W 1.79, 1 Li 2.00
O  0.4518  0.1198  0.4556 (multiplicity 2)  1 W 1.78
O  0.4562  0.1062  0.5939 (multiplicity 2)  1 W 1.78
O  0.4731  0.1629  0.8374 (multiplicity 2)  1 W 1.81
O  0.4864  0.1698  0.2271 (multiplicity 2)  1 W 1.83
O  0.6186  0.3364  0.3775 (multiplicity 2)  1 W 1.83
O  0.6275  0.3338  0.7652 (multiplicity 2)  1 W 1.80
O  0.6339  0.3999  0.0054 (multiplicity 2)  1 W 1.79
O  0.6406  0.3995  0.1445 (multiplicity 2)  1 W 1.78
O  0.7199  0.1032  0.5940 (multiplicity 2)  1 W 1.79
O  0.7939  0.2000  0.9255 (multiplicity 2)  1 W 1.81, 1 Mg 2.01
O  0.8063  0.1878  0.3083 (multiplicity 2)  1 W 1.83
O  0.8849  0.2897  0.5150 (multiplicity 2)  1 W 1.78
O  0.8938  0.3147  0.7639 (multiplicity 2)  1 W 1.77
O  0.9327  0.2292  0.0778 (multiplicity 2)  1 W 1.80
O  0.9464  0.1937  0.2233 (multiplicity 2)  1 W 1.82

Calculated values
Raw formation energy, eV/atom: -2.53

***

Material: AgSbTe2O
Method: DFT, meta-GGA SCAN
State: PBEsol geometry

Unit cell a=4.8421 b=4.8421 c=4.6427 alpha=90.00 beta=90.00 gamma=90.00
Last column: nearest neighbours and their distance in Å.
Space group P4/mmm (No. 123)
Unique sites:
Ag  0.0000  0.0000  0.0000 (multiplicity 1)  8 Te 3.35, 4 Sb 3.42
Sb  0.5000  0.5000  0.0000 (multiplicity 1)  2 O 2.32
Te  0.0000  0.5000  0.5000 (multiplicity 2)  2 O 2.42
O  0.5000  0.5000  0.5000 (multiplicity 1)  2 Sb 2.32, 4 Te 2.42

Calculated values
Raw formation energy, eV/atom: 0.28

***

Material: ZnHN2F
Method: DFT, meta-GGA SCAN
State: PBEsol geometry

Unit cell a=2.9304 b=2.9304 c=4.5362 alpha=90.00 beta=90.00 gamma=90.00
Last column: nearest neighbours and their distance in Å.
Space group P4/mmm (No. 123)
Unique sites:
Zn  0.0000  0.0000  0.0000 (multiplicity 1)  4 F 2.07
H  0.5000  0.5000  0.5000 (multiplicity 1)  4 N 1.47
N  0.0000  0.5000  0.5000 (multiplicity 2)  2 H 1.47
F  0.5000  0.5000  0.0000 (multiplicity 1)  4 Zn 2.07, 2 H 2.27

***

Material: BaCdIn2As
Method: DFT, meta-GGA SCAN
State: PBEsol geometry

Unit cell a=6.4416 b=6.4416 c=5.6109 alpha=90.00 beta=90.00 gamma=90.00
Last column: nearest neighbours and their distance in Å.
Space group P4/mmm (No. 123)
Unique sites:
Ba  0.0000  0.0000  0.0000 (multiplicity 1)  2 As 2.81
Cd  0.5000  0.5000  0.5000 (multiplicity 1)  8 In 4.27, 4 As 4.55
In  0.0000  0.5000  0.0000 (multiplicity 2)  2 Ba 3.22
As  0.0000  0.0000  0.5000 (multiplicity 1)  2 Ba 2.81

Calculated values
Energy of formation from the pure elements, kcal/mol of atoms: 18.2

***

Material: ZnCuIr2
Method: DFT, meta-GGA SCAN
State: PBEsol geometry

Unit cell a=3.8136 b=3.8136 c=7.3097 alpha=90.00 beta=90.00 gamma=90.00
Last column: nearest neighbours and their distance in Å.
Space group I4/mmm (No. 139)
Unique sites:
Zn  0.0000  0.0000  0.0000 (multiplicity 2)  8 Ir 2.64, 4 Cu 2.70
Cu  0.0000  0.0000  0.5000 (multiplicity 2)  8 Ir 2.64, 4 Zn 2.70
Ir  0.0000  0.5000  0.2500 (multiplicity 4)  4 Cu 2.64, 4 Zn 2.64, 4 Ir 2.70

Calculated values
Energy of formation from the pure elements, kcal/mol of atoms: 3.1

***

Material: TaMo6
Method: DFT, meta-GGA SCAN
State: PBEsol geometry

Unit cell a=4.4453 b=4.4453 c=19.1096 alpha=90.00 beta=90.00 gamma=120.00
Last column: nearest neighbours and their distance in Å.
Space group R-3m (No. 166, hexagonal axes)
Unique sites:
Ta  0.0000  0.0000  0.0000 (multiplicity 3)  8 Mo 2.73-2.75
Mo  0.0000  0.0000  0.1442 (multiplicity 6)  7 Mo 2.68-2.73, 1 Ta 2.75
Mo  0.0000  0.0000  0.2844 (multiplicity 6)  5 Mo 2.68-2.75, 3 Ta 2.73
Mo  0.0000  0.0000  0.4284 (multiplicity 6)  8 Mo 2.71-2.75

Calculated values
Energy of formation from the pure elements, kcal/mol of atoms: -1.8

***

Material: ThP
Method: DFT, meta-GGA SCAN
State: PBEsol geometry

Unit cell a=5.8022 b=5.8022 c=5.8022 alpha=90.00 beta=90.00 gamma=90.00
Last column: nearest neighbours and their distance in Å.
Space group Fm-3m (No. 225)
Unique sites:
Th  0.0000  0.0000  0.0000 (multiplicity 4)  6 P 2.90
P  0.0000  0.0000  0.5000 (multiplicity 4)  6 Th 2.90

Calculated values
Energy of formation from the pure elements, kcal/mol of atoms: -37.1

***

Material: Mg2TcO4
Method: DFT, meta-GGA SCAN
State: PBEsol geometry

Unit cell a=5.9769 b=6.0488 c=8.5675 alpha=90.00 beta=90.00 gamma=90.00
Last column: nearest neighbours and their distance in Å.
Space group Imma (No. 74)
Unique sites:
Mg  0.0000  0.2500  0.1376 (multiplicity 4)  4 O 1.96-2.02
Mg  0.2500  0.2500  0.7500 (multiplicity 4)  6 O 2.06-2.12
Tc  0.0000  0.0000  0.5000 (multiplicity 4)  6 O 1.99-2.04
O  0.0000  0.0166  0.7319 (multiplicity 8)  3 Mg 1.96-2.06, 1 Tc 1.99
O  0.2287  0.2500  0.5026 (multiplicity 8)  2 Mg 2.02-2.12, 2 Tc 2.04

Calculated values
Raw formation energy, eV/atom: -2.44

***

Material: MgTl2Hg
Method: DFT, meta-GGA SCAN
State: PBEsol geometry

Unit cell a=11.6061 b=3.5434 c=5.4227 alpha=90.00 beta=116.55 gamma=90.00
Last column: nearest neighbours and their distance in Å.
Space group Cm (No. 8)
Unique sites:
Mg  0.0000  0.0000  0.0000 (multiplicity 2)  2 Hg 2.91, 4 Tl 3.16-3.19
Tl  0.2501  0.0000  0.8318 (multiplicity 2)  3 Mg 3.16-3.41, 4 Hg 3.23-3.29, 5 Tl 3.35-3.54
Tl  0.4753  0.0000  0.4901 (multiplicity 2)  4 Mg 3.19-3.31, 3 Hg 3.24-3.36, 5 Tl 3.35-3.54
Hg  0.2165  0.5000  0.3068 (multiplicity 2)  2 Mg 2.91, 4 Tl 3.23-3.24

Calculated values
Energy of formation from the pure elements, kcal/mol of atoms: -1.4

***

Material: LuGaAu
Method: DFT, meta-GGA SCAN
State: PBEsol geometry

Unit cell a=10.1715 b=4.3851 c=6.8288 alpha=90.00 beta=131.24 gamma=90.00
Last column: nearest neighbours and their distance in Å.
Space group C2/m (No. 12)
Unique sites:
Lu  0.0377  0.0000  0.2973 (multiplicity 4)  6 Au 2.95-3.18, 6 Ga 3.02-3.18
Ga  0.1581  0.5000  0.1058 (multiplicity 4)  1 Ga 2.51, 3 Au 2.54-2.81
Au  0.1762  0.5000  0.7127 (multiplicity 4)  3 Ga 2.54-2.81, 1 Au 2.75

Calculated values
Energy of formation from the pure elements, kcal/mol of atoms: -22.8

***

Material: Tc4C
Method: DFT, meta-GGA SCAN
State: PBEsol geometry

Unit cell a=6.6645 b=6.6645 c=2.7192 alpha=90.00 beta=90.00 gamma=90.00
Last column: nearest neighbours and their distance in Å.
Space group I4/m (No. 87)
Unique sites:
Tc  0.0778  0.2619  0.0000 (multiplicity 8)  2 C 2.27
C  0.0000  0.0000  0.5000 (multiplicity 2)  8 Tc 2.27

Calculated values
Energy of formation from the pure elements, kcal/mol of atoms: 3.9

***

Material: Ce3Si2
Method: DFT, meta-GGA SCAN
State: PBEsol geometry

Unit cell a=7.5496 b=7.5496 c=4.0415 alpha=90.00 beta=90.00 gamma=90.00
Last column: nearest neighbours and their distance in Å.
Space group P4/mbm (No. 127)
Unique sites:
Ce  0.0000  0.0000  0.0000 (multiplicity 2)  4 Si 3.04
Ce  0.1810  0.3190  0.5000 (multiplicity 4)  6 Si 2.98-3.05
Si  0.1134  0.6134  0.0000 (multiplicity 4)  1 Si 2.42

Calculated values
Raw formation energy, eV/atom: -0.58

***

Material: YTaCo2
Method: DFT, meta-GGA SCAN
State: PBEsol geometry

Unit cell a=3.2896 b=3.2896 c=6.1671 alpha=90.00 beta=90.00 gamma=90.00
Last column: nearest neighbours and their distance in Å.
Space group P4mm (No. 99)
Unique sites:
Y  0.0000  0.0000  0.0000 (multiplicity 1)  5 Co 2.75-2.94
Ta  0.5000  0.5000  0.6077 (multiplicity 1)  5 Co 2.28-2.46
Co  0.0000  0.0000  0.4767 (multiplicity 1)  4 Ta 2.46, 4 Co 2.75
Co  0.5000  0.5000  0.2379 (multiplicity 1)  1 Ta 2.28

Calculated values
Energy of formation from the pure elements, kcal/mol of atoms: 6.3

***

Material: Te3Se
Method: DFT, meta-GGA SCAN
State: PBEsol geometry

Unit cell a=6.1499 b=8.5816 c=4.3501 alpha=90.00 beta=90.00 gamma=90.00
Last column: nearest neighbours and their distance in Å.
Space group Cmmm (No. 65)
Unique sites:
Te  0.0000  0.0000  0.0000 (multiplicity 2)  2 Se 3.07, 4 Te 3.10
Te  0.0000  0.2578  0.5000 (multiplicity 4)  2 Se 3.01, 4 Te 3.08-3.10
Se  0.0000  0.5000  0.0000 (multiplicity 2)  6 Te 3.01-3.07

Calculated values
Raw formation energy, eV/atom: 0.06

***

Material: Cr2MoW
Method: DFT, meta-GGA SCAN
State: PBEsol geometry

Unit cell a=2.8568 b=2.8568 c=23.4780 alpha=90.00 beta=90.00 gamma=120.00
Last column: nearest neighbours and their distance in Å.
Space group R-3m (No. 166, hexagonal axes)
Unique sites:
Cr  0.0000  0.0000  0.2492 (multiplicity 6)  3 Mo 2.55, 3 W 2.57
Mo  0.0000  0.0000  0.5000 (multiplicity 3)  6 Cr 2.55
W  0.0000  0.0000  0.0000 (multiplicity 3)  6 Cr 2.57, 6 W 2.86

Calculated values
Energy of formation from the pure elements, kcal/mol of atoms: 10.7

***

Material: BHW2Se
Method: DFT, meta-GGA SCAN
State: PBEsol geometry

Unit cell a=4.6001 b=4.6001 c=3.8970 alpha=90.00 beta=90.00 gamma=90.00
Last column: nearest neighbours and their distance in Å.
Space group P4/mmm (No. 123)
Unique sites:
B  0.0000  0.0000  0.0000 (multiplicity 1)  2 Se 1.95
H  0.5000  0.5000  0.0000 (multiplicity 1)  8 W 3.01, 4 B 3.25
W  0.0000  0.5000  0.5000 (multiplicity 2)  2 Se 2.30
Se  0.0000  0.0000  0.5000 (multiplicity 1)  2 B 1.95

***

Number 1: DFT total energy -6.907 eV/atom. Number 2: DFT total energy -27.744 eV/atom. Number 3: DFT total energy -19.498 eV/atom. Number 4: DFT total energy -35.357 eV/atom. Number 5: DFT total energy -18.241 eV/atom. Number 6: DFT total energy -29.587 eV/atom. Number 7: DFT total energy -6.877 eV/atom. Number 8: DFT total energy -30.595 eV/atom. Number 9: DFT total energy -42.593 eV/atom. Number 10: DFT total energy -39.493 eV/atom. Number 11: DFT total energy -54.768 eV/atom. Number 12: DFT total energy -12.428 eV/atom. Number 13: DFT total energy -54.525 eV/atom. Number 14: DFT total energy -47.937 eV/atom. Number 15: DFT total energy -29.900 eV/atom. Number 16: DFT total energy -31.322 eV/atom. Number 17: DFT total energy -31.985 eV/atom. Number 18: DFT total energy -32.899 eV/atom. Number 19: DFT total energy -34.873 eV/atom. Number 20: DFT total energy -31.231 eV/atom.